Compound: Sr5SmSe6
Source: the Alexandria database
Functional: PBE
Structure: relaxed

a b c (Å): 7.6047 7.6047 7.6072
angles (deg): 99.60 99.60 119.98
Fractional positions:
Sr: 0.0000 0.0000 0.0000
Sr: 0.1663 0.8337 0.5000
Sr: 0.3313 0.6687 0.0000
Sr: 0.6687 0.3313 0.0000
Sr: 0.8337 0.1663 0.5000
Sm: 0.5000 0.5000 0.5000
Se: 0.0966 0.4190 0.2568
Se: 0.2595 0.2595 0.7439
Se: 0.4190 0.0966 0.2568
Se: 0.5810 0.9034 0.7432
Se: 0.7405 0.7405 0.2561
Se: 0.9034 0.5810 0.7432

Output
symmetry = C2/m
formation energy without anion corrections = -2.00 eV/atom


Compound: AcPm4Sn2
Source: the Alexandria database
Functional: PBE
Structure: relaxed

a b c (Å): 13.0777 13.0777 13.0777
angles (deg): 159.81 159.81 28.71
Fractional positions:
Ac: 0.0000 0.0000 0.0000
Pm: 0.1374 0.1374 0.0000
Pm: 0.2500 0.7500 0.5000
Pm: 0.7500 0.2500 0.5000
Pm: 0.8626 0.8626 0.0000
Sn: 0.3496 0.3496 0.0000
Sn: 0.6504 0.6504 0.0000

Output
symmetry = I4/mmm
formation enthalpy at 0 K = -0.122 eV/atom


Compound: LiTm2Pd3
Source: the Alexandria database
Functional: PBE
Structure: relaxed

a b c (Å): 4.7779 4.7779 11.4645
angles (deg): 90.00 90.00 120.00
Fractional positions:
Li: 0.3333 0.6667 0.1659
Li: 0.6667 0.3333 0.8341
Tm: 0.0000 0.0000 0.0000
Tm: 0.0000 0.0000 0.5000
Tm: 0.3333 0.6667 0.6841
Tm: 0.6667 0.3333 0.3159
Pd: 0.0000 0.0000 0.2487
Pd: 0.0000 0.0000 0.7513
Pd: 0.3333 0.6667 0.4169
Pd: 0.3333 0.6667 0.9285
Pd: 0.6667 0.3333 0.0715
Pd: 0.6667 0.3333 0.5831

Output
symmetry = P-3m1
relative energy among the computed polymorphs = 8 kJ/mol of formula units
formation enthalpy at 0 K = -0.803 eV/atom


Compound: ThGaPt
Source: the Alexandria database
Functional: PBE
Structure: relaxed

a b c (Å): 11.8991 11.8991 11.8991
angles (deg): 158.18 44.57 141.63
Fractional positions:
Th: 0.0000 0.0000 0.0000
Th: 0.2267 0.0628 0.1639
Th: 0.3328 0.0018 0.3310
Th: 0.5573 0.0573 0.5000
Th: 0.6708 0.0018 0.6690
Th: 0.8989 0.0628 0.8361
Ga: 0.0936 0.3631 0.7305
Ga: 0.1293 0.6938 0.4355
Ga: 0.2583 0.6938 0.5645
Ga: 0.6081 0.6958 0.9123
Ga: 0.6325 0.3631 0.2695
Ga: 0.7835 0.6958 0.0877
Pt: 0.2814 0.3638 0.9177
Pt: 0.4461 0.3638 0.0823
Pt: 0.4499 0.6959 0.7540
Pt: 0.7597 0.3607 0.3990
Pt: 0.9418 0.6959 0.2460
Pt: 0.9617 0.3607 0.6010

Output
symmetry = Imm2
formation enthalpy at 0 K = -1.042 eV/atom


Compound: La8Tc3HI4
Source: the Alexandria database
Functional: PBE
Structure: relaxed

a b c (Å): 9.5769 9.5769 9.5769
angles (deg): 51.94 51.94 51.94
Fractional positions:
La: 0.2175 0.7328 0.7328
La: 0.2318 0.2318 0.2318
La: 0.2672 0.2672 0.7825
La: 0.2672 0.7825 0.2672
La: 0.7328 0.2175 0.7328
La: 0.7328 0.7328 0.2175
La: 0.7682 0.7682 0.7682
La: 0.7825 0.2672 0.2672
Tc: 0.0000 0.0000 0.5000
Tc: 0.0000 0.5000 0.0000
Tc: 0.5000 0.0000 0.0000
H: 0.5000 0.5000 0.5000
I: 0.0000 0.0000 0.0000
I: 0.0000 0.5000 0.5000
I: 0.5000 0.0000 0.5000
I: 0.5000 0.5000 0.0000

Output
final energy = -5.554 eV per atom
symmetry = R-3m


Compound: KLi2TlPb
Source: the Alexandria database
Functional: PBE
Structure: relaxed

a b c (Å): 5.4198 5.4198 6.1061
angles (deg): 90.00 90.00 90.00
Fractional positions:
K: 0.0000 0.0000 0.0000
Li: 0.0000 0.5000 0.5000
Li: 0.5000 0.0000 0.5000
Tl: 0.5000 0.5000 0.0000
Pb: 0.5000 0.5000 0.5000

Output
symmetry = P4/mmm
formation enthalpy at 0 K = -0.058 eV/atom